(1)
The following is a DFT calculation (PBE-GGA) of Gd2AlSn after structural relaxation.

Calculated values
- Formation energy: -46 kJ/mol of atoms
- Crystal system: cubic
- Energy above the lowest structure with this stoichiometry: 6.1 kJ per mole of atoms
- Spin magnetization: 14.1 μB/f.u.

Cell: 5.275 5.275 5.275 Å, 60.00 60.00 60.00°
Fractional positions:
1 Gd 0.750 0.750 0.750
2 Gd 0.250 0.250 0.250
3 Sn 0.000 0.000 0.000
4 Al 0.500 0.500 0.500

---

(2)
The following is a DFT calculation (PBE-GGA) of Gd2AlSn after structural relaxation.

Calculated values
- Formation energy: -50 kJ/mol of atoms
- Crystal system: tetragonal
- Energy above the lowest structure with this stoichiometry: 1.9 kJ per mole of atoms
- Spin magnetization: 14.6 μB/f.u.

Cell: 3.404 3.404 8.832 Å, 90.00 90.00 90.00°
Fractional positions:
1 Gd 0.000 0.000 0.263
2 Gd 0.000 0.000 0.737
3 Sn 0.500 0.500 0.000
4 Al 0.500 0.500 0.500

---

(3)
The following is a DFT calculation (PBE-GGA) of TbGdAlSn after structural relaxation.

Calculated values
- Formation energy: -45 kJ/mol of atoms
- Crystal system: cubic
- Spin magnetization: 7.0 μB/f.u.

Cell: 5.264 5.264 5.264 Å, 60.00 60.00 60.00°
Fractional positions:
1 Gd 0.250 0.250 0.250
2 Al 0.500 0.500 0.500
3 Tb 0.750 0.750 0.750
4 Sn 0.000 0.000 0.000

---

(4)
The following is a DFT calculation (PBE-GGA) of SrGd2Al after structural relaxation.

Calculated values
- Formation energy: -10 kJ/mol of atoms
- Crystal system: tetragonal
- Spin magnetization: 14.8 μB/f.u.

Cell: 3.712 3.712 9.642 Å, 90.00 90.00 90.00°
Fractional positions:
1 Al 0.500 0.500 0.000
2 Sr 0.500 0.500 0.500
3 Gd 0.000 0.000 0.177
4 Gd 0.000 0.000 0.823

---

(5)
The following is a DFT calculation (PBE-GGA) of SrGdAl after structural relaxation.

Calculated values
- Formation energy: -11 kJ/mol of atoms
- Crystal system: tetragonal
- Spin magnetization: 7.3 μB/f.u.

Cell: 3.763 3.763 7.364 Å, 104.80 104.80 90.00°
Fractional positions:
1 Gd 0.296 0.296 0.592
2 Sr 0.023 0.023 0.046
3 Al 0.681 0.681 0.362

---

(6)
The following is a DFT calculation (PBE-GGA) of SrGdAlZn after structural relaxation.

Calculated values
- Formation energy: -19 kJ/mol of atoms
- Crystal system: cubic
- Spin magnetization: 7.2 μB/f.u.

Cell: 5.334 5.334 5.334 Å, 60.00 60.00 60.00°
Fractional positions:
1 Gd 0.500 0.500 0.500
2 Zn 0.250 0.250 0.250
3 Al 0.750 0.750 0.750
4 Sr 0.000 0.000 0.000

---

(7)
The following is a DFT calculation (PBE-GGA) of GdTaAl2 after structural relaxation.

Calculated values
- Formation energy: 1 kJ/mol of atoms
- Crystal system: trigonal
- Spin magnetization: 7.4 μB/f.u.

Cell: 3.055 3.055 10.100 Å, 81.30 81.30 60.00°
Fractional positions:
1 Al 0.742 0.742 0.774
2 Al 0.258 0.258 0.226
3 Gd 0.500 0.500 0.500
4 Ta 0.000 0.000 0.000

---

(8)
The following is a DFT calculation (PBE-GGA) of Gd2TaAl after structural relaxation.

Calculated values
- Formation energy: 47 kJ/mol of atoms
- Crystal system: trigonal
- Spin magnetization: 15.6 μB/f.u.

Cell: 3.127 3.127 11.456 Å, 82.15 82.15 60.00°
Fractional positions:
1 Al 0.500 0.500 0.500
2 Gd 0.089 0.089 0.732
3 Gd 0.911 0.911 0.268
4 Ta 0.000 0.000 0.000

---

(9)
The following is a DFT calculation (PBE-GGA) of TbGdAl4 after structural relaxation.

Calculated values
- Formation energy: -51 kJ/mol of atoms
- Crystal system: cubic
- Spin magnetization: 7.7 μB/f.u.

Cell: 5.584 5.584 5.584 Å, 60.00 60.00 60.00°
Fractional positions:
1 Al 0.625 0.625 0.625
2 Al 0.625 0.625 0.125
3 Al 0.125 0.625 0.625
4 Al 0.625 0.125 0.625
5 Tb 0.250 0.250 0.250
6 Gd 0.000 0.000 0.000

---

(10)
The following is a DFT calculation (PBE-GGA) of TbGdAl2 after structural relaxation.

Calculated values
- Formation energy: -38 kJ/mol of atoms
- Crystal system: cubic
- Energy above the lowest structure with this stoichiometry: 0.5 kJ per mole of atoms
- Spin magnetization: 7.1 μB/f.u.

Cell: 5.128 5.128 5.128 Å, 60.00 60.00 60.00°
Fractional positions:
1 Tb 0.000 0.000 0.000
2 Al 0.750 0.750 0.750
3 Al 0.250 0.250 0.250
4 Gd 0.500 0.500 0.500

---

(11)
The following is a DFT calculation (PBE-GGA) of TbGdAl2 after structural relaxation.

Calculated values
- Formation energy: -15 kJ/mol of atoms
- Crystal system: trigonal
- Energy above the lowest structure with this stoichiometry: 23.9 kJ per mole of atoms
- Spin magnetization: 7.0 μB/f.u.

Cell: 3.601 3.601 9.505 Å, 79.08 79.08 60.00°
Fractional positions:
1 Gd 0.500 0.500 0.500
2 Al 0.250 0.250 0.249
3 Al 0.750 0.750 0.751
4 Tb 0.000 0.000 0.000

---

(12)
The following is a DFT calculation (PBE-GGA) of TbGdAl6 after structural relaxation.

Calculated values
- Formation energy: -42 kJ/mol of atoms
- Crystal system: hexagonal
- Spin magnetization: 7.0 μB/f.u.

Cell: 6.284 6.284 4.660 Å, 90.00 90.00 120.00°
Fractional positions:
1 Al 0.521 0.479 0.500
2 Al 0.959 0.479 0.500
3 Al 0.813 0.187 0.000
4 Al 0.813 0.625 0.000
5 Al 0.521 0.041 0.500
6 Al 0.375 0.187 0.000
7 Tb 0.000 0.000 0.500
8 Gd 0.333 0.667 0.000